Cs3BaCl after structural relaxation, computed with PBE.

Cell lengths 7.1280, 7.1280, 7.1280 Å; angles 90.00, 90.00, 90.00 degrees
Site moments in Bohr magnetons follow the coordinates.
Sites, in units of the cell vectors:
Ba (0.5000, 0.5000, 0.5000)  0.16
Cs (0.0000, 0.5000, 0.0000)  0.02
Cs (0.0000, 0.0000, 0.5000)  0.02
Cs (0.5000, 0.0000, 0.0000)  0.02
Cl (0.0000, 0.0000, 0.0000)  0.01

Properties
M_tot = 1.55 μB per formula unit
uncorrected formation energy = -0.6074 eV/atom
final energy = -1.873 eV/atom